PuMnClO2: relaxed, GGA+U.

```
data_PuMnClO2
_space_group_name_H-M_alt 'P 1 21/m 1'
_space_group_IT_number 11
_cell_length_a 6.9732
_cell_length_b 3.9605
_cell_length_c 8.2532
_cell_angle_alpha 90.00
_cell_angle_beta 113.77
_cell_angle_gamma 90.00
loop_
_space_group_symop_operation_xyz
'x,y,z'
'-x,-y,-z'
'-x,y+1/2,-z'
'x,-y+1/2,z'
loop_
_atom_site_label
_atom_site_fract_x
_atom_site_fract_y
_atom_site_fract_z
_atom_site_occupancy
Pu1 0.1635 0.2500 0.1827 1
Mn1 0.1122 0.2500 0.6560 1
Cl1 0.5001 0.2500 0.7356 1
O1 0.0153 0.2500 0.3767 1
O2 0.0221 0.2500 0.8854 1
```

- Size of the total moment: 10.00 μB per formula unit
- VASP energy: -8.861 eV per atom
- Crystal system: monoclinic
- DOS at the Fermi energy: 1.44 states/eV/atom
- V: 20.86 Å³ per atom